No. 1
Density functional theory data (GGA-PBE) for an optimized crystal structure of MgNiAu2.

Computed properties:
- DOS at the Fermi energy: 7.8 states/eV per cell
- E: -3.48 eV per atom
- Energy relative to the elements: 0.00 eV/atom
- Crystal system: tetragonal

```
data_MgNiAu2
_chemical_formula_sum 'Mg4 Ni4 Au8'
_space_group_name_H-M_alt 'I -4 2 d'
_space_group_IT_number 122
_space_group_name_Hall 'I -4 2bw'
_cell_length_a 3.9115
_cell_length_b 3.9115
_cell_length_c 18.4811
_cell_angle_alpha 90.00
_cell_angle_beta 90.00
_cell_angle_gamma 90.00
loop_
_atom_site_label
_atom_site_type_symbol
_atom_site_fract_x
_atom_site_fract_y
_atom_site_fract_z
Mg1 Mg 0.0000 0.0000 0.0000
Ni1 Ni 0.0000 0.0000 0.5000
Au1 Au 0.2434 0.2500 0.6250
```

***

No. 2
Density functional theory data (GGA-PBE) for an optimized crystal structure of Sm6HgRh5.

Computed properties:
- DOS at the Fermi energy: 6.4 states/eV per cell
- E: -6.11 eV per atom
- Energy relative to the elements: -0.66 eV/atom
- Crystal system: monoclinic

```
data_Sm6HgRh5
_chemical_formula_sum 'Sm6 Hg1 Rh5'
_space_group_name_H-M_alt 'P 1 2/m 1'
_space_group_IT_number 10
_space_group_name_Hall '-P 2y'
_cell_length_a 4.9866
_cell_length_b 7.1725
_cell_length_c 7.8899
_cell_angle_alpha 90.00
_cell_angle_beta 108.34
_cell_angle_gamma 90.00
loop_
_atom_site_label
_atom_site_type_symbol
_atom_site_fract_x
_atom_site_fract_y
_atom_site_fract_z
Sm1 Sm 0.0000 0.2364 0.0000
Sm2 Sm 0.3283 0.2458 0.6567
Hg1 Hg 0.5000 0.5000 0.0000
Rh1 Rh 0.1650 0.5000 0.3298
Rh2 Rh 0.1675 0.0000 0.3355
Rh3 Rh 0.5000 0.0000 0.0000
```

***

No. 3
Density functional theory data (GGA-PBE) for an optimized crystal structure of SrAc2Bi3Pd6.

Computed properties:
- DOS at the Fermi energy: 5.7 states/eV per cell
- E: -5.05 eV per atom
- Energy relative to the elements: -0.66 eV/atom
- Crystal system: tetragonal

```
data_SrAc2Bi3Pd6
_chemical_formula_sum 'Sr1 Ac2 Bi3 Pd6'
_space_group_name_H-M_alt 'P 4/m m m'
_space_group_IT_number 123
_space_group_name_Hall '-P 4 2'
_cell_length_a 4.4470
_cell_length_b 4.4470
_cell_length_c 15.5673
_cell_angle_alpha 90.00
_cell_angle_beta 90.00
_cell_angle_gamma 90.00
loop_
_atom_site_label
_atom_site_type_symbol
_atom_site_fract_x
_atom_site_fract_y
_atom_site_fract_z
Sr1 Sr 0.0000 0.0000 0.0000
Ac1 Ac 0.0000 0.0000 0.3565
Bi1 Bi 0.5000 0.5000 0.1072
Bi2 Bi 0.5000 0.5000 0.5000
Pd1 Pd 0.0000 0.5000 0.2119
Pd2 Pd 0.5000 0.5000 0.3239
```

***

No. 4
Density functional theory data (GGA-PBE) for an optimized crystal structure of ZnGeRh2.

Computed properties:
- DOS at the Fermi energy: 3.2 states/eV per cell
- E: -5.25 eV per atom
- Energy relative to the elements: -0.10 eV/atom
- Crystal system: tetragonal

```
data_ZnGeRh2
_chemical_formula_sum 'Zn4 Ge4 Rh8'
_space_group_name_H-M_alt 'I -4 2 d'
_space_group_IT_number 122
_space_group_name_Hall 'I -4 2bw'
_cell_length_a 6.6986
_cell_length_b 6.6986
_cell_length_c 5.6475
_cell_angle_alpha 90.00
_cell_angle_beta 90.00
_cell_angle_gamma 90.00
loop_
_atom_site_label
_atom_site_type_symbol
_atom_site_fract_x
_atom_site_fract_y
_atom_site_fract_z
Zn1 Zn 0.0000 0.0000 0.0000
Ge1 Ge 0.0000 0.0000 0.5000
Rh1 Rh 0.2271 0.2500 0.6250
```

***

No. 5
Density functional theory data (GGA-PBE) for an optimized crystal structure of UFeRh2.

Computed properties:
- DOS at the Fermi energy: 6.1 states/eV per cell
- E: -8.84 eV per atom
- Energy relative to the elements: -0.23 eV/atom
- Energy relative to the lowest polymorph listed for this composition: 261.0 meV per atom
- Crystal system: tetragonal

```
data_UFeRh2
_chemical_formula_sum 'U1 Fe1 Rh2'
_space_group_name_H-M_alt 'P 4/m m m'
_space_group_IT_number 123
_space_group_name_Hall '-P 4 2'
_cell_length_a 3.4316
_cell_length_b 3.4316
_cell_length_c 5.5777
_cell_angle_alpha 90.00
_cell_angle_beta 90.00
_cell_angle_gamma 90.00
loop_
_atom_site_label
_atom_site_type_symbol
_atom_site_fract_x
_atom_site_fract_y
_atom_site_fract_z
U1 U 0.0000 0.0000 0.0000
Fe1 Fe 0.0000 0.0000 0.5000
Rh1 Rh 0.5000 0.5000 0.2596
```

***

No. 6
Density functional theory data (GGA-PBE) for an optimized crystal structure of MnPt2Se.

Computed properties:
- DOS at the Fermi energy: 5.6 states/eV per cell
- E: -6.22 eV per atom
- Raw formation energy: -0.2 eV per formula unit
- Crystal system: orthorhombic

```
data_MnPt2Se
_chemical_formula_sum 'Mn2 Pt4 Se2'
_space_group_name_H-M_alt 'I m m m'
_space_group_IT_number 71
_space_group_name_Hall '-I 2 2'
_cell_length_a 3.5327
_cell_length_b 4.1240
_cell_length_c 8.9393
_cell_angle_alpha 90.00
_cell_angle_beta 90.00
_cell_angle_gamma 90.00
loop_
_atom_site_label
_atom_site_type_symbol
_atom_site_fract_x
_atom_site_fract_y
_atom_site_fract_z
Mn1 Mn 0.0000 0.0000 0.0000
Pt1 Pt 0.0000 0.5000 0.2240
Se1 Se 0.0000 0.0000 0.5000
```

***

No. 7
Density functional theory data (GGA-PBE) for an optimized crystal structure of Tl2CrIn2Cl6.

Computed properties:
- DOS at the Fermi energy: 9.6 states/eV per cell
- E: -3.70 eV per atom
- Raw formation energy: -9.8 eV per formula unit
- Crystal system: monoclinic

```
data_Tl2CrIn2Cl6
_chemical_formula_sum 'Tl4 Cr2 In4 Cl12'
_space_group_name_H-M_alt 'C 1 2/m 1'
_space_group_IT_number 12
_space_group_name_Hall '-C 2y'
_cell_length_a 8.2894
_cell_length_b 11.9964
_cell_length_c 7.4580
_cell_angle_alpha 90.00
_cell_angle_beta 106.85
_cell_angle_gamma 90.00
loop_
_atom_site_label
_atom_site_type_symbol
_atom_site_fract_x
_atom_site_fract_y
_atom_site_fract_z
Tl1 Tl 0.0000 0.1957 0.0000
Cr1 Cr 0.0000 0.0000 0.5000
In1 In 0.0000 0.3505 0.5000
Cl1 Cl 0.1545 0.0000 0.2696
Cl2 Cl 0.1957 0.1532 0.6929
```

***

No. 8
Density functional theory data (GGA-PBE) for an optimized crystal structure of Ac6SnTe3S2.

Computed properties:
- DOS at the Fermi energy: 12.3 states/eV per cell
- E: -5.40 eV per atom
- Raw formation energy: -18.5 eV per formula unit
- Crystal system: monoclinic

```
data_Ac6SnTe3S2
_chemical_formula_sum 'Ac12 Sn2 Te6 S4'
_space_group_name_H-M_alt 'C 1 2/m 1'
_space_group_IT_number 12
_space_group_name_Hall '-C 2y'
_cell_length_a 7.9025
_cell_length_b 13.6627
_cell_length_c 8.1943
_cell_angle_alpha 90.00
_cell_angle_beta 108.73
_cell_angle_gamma 90.00
loop_
_atom_site_label
_atom_site_type_symbol
_atom_site_fract_x
_atom_site_fract_y
_atom_site_fract_z
Ac1 Ac 0.2276 0.0000 0.2218
Ac2 Ac 0.2479 0.3271 0.2253
Sn1 Sn 0.0000 0.5000 0.0000
Te1 Te 0.0000 0.0000 0.5000
Te2 Te 0.0000 0.3385 0.5000
S1 S 0.0000 0.1677 0.0000
```

***

Q: The lowest E belongs to which entry?
A: UFeRh2